1.
DFT (PBE) results for a relaxed structure of CoMo3.

Values from the calculation:
The space group is Pm-3m. The formation energy is 2.1533 eV/atom.

abc: 4.4789 4.4789 4.4789
angles: 90.00 90.00 90.00
With the nearest neighbours (Å) after each atom.
Atoms (fractional coordinates):
Co1 0.0000 0.0000 0.0000  6 Mo 2.24
Mo1 0.0000 0.0000 0.5000  2 Co 2.24
Mo2 0.0000 0.5000 0.0000  2 Co 2.24
Mo3 0.5000 0.0000 0.0000  2 Co 2.24


2.
DFT (PBE) results for a relaxed structure of SiHg.

Values from the calculation:
The space group is P4_2/mnm. Its energy above the most stable polymorph in this dataset is 294 meV per atom.

abc: 6.8886 6.8886 4.5675
angles: 90.00 90.00 90.00
With the nearest neighbours (Å) after each atom.
Atoms (fractional coordinates):
Si1 0.1177 0.1177 0.0000  1 Si 2.29, 2 Hg 2.54
Si2 0.3823 0.6177 0.5000  1 Si 2.29, 2 Hg 2.54
Si3 0.6177 0.3823 0.5000  1 Si 2.29, 2 Hg 2.54
Si4 0.8823 0.8823 0.0000  1 Si 2.29, 2 Hg 2.54
Hg1 0.2314 0.2314 0.5000  2 Si 2.54
Hg2 0.2686 0.7314 0.0000  2 Si 2.54
Hg3 0.7314 0.2686 0.0000  2 Si 2.54
Hg4 0.7686 0.7686 0.5000  2 Si 2.54


Computed values of total energy (unit: eV for the cell shown) for the preceding records, in sequence: -30.986 -19.382.